1.
Compound: Ac3PuGa8
Source: Alexandria
Functional: PBE
Structure: relaxed Values from VASP.

electronic total energy	-0.1715	Ha/atom
crystal system	trigonal
spin magnetization	6.1	μB per cell
SG	No. 160
V	23.01	A^3/atom

The structure in Quantum ESPRESSO input format:
```
&SYSTEM
  ibrav = 0, nat = 12, ntyp = 3
/
ATOMIC_SPECIES
Ga 69.72 Ga.upf
Pu 244.00 Pu.upf
Ac 227.00 Ac.upf
CELL_PARAMETERS angstrom
-1.656 1.547 5.330
-5.483 -0.813 1.679
-0.112 -8.407 5.551
ATOMIC_POSITIONS crystal
Ga 0.189 0.189 0.434
Ga 0.938 0.938 0.683
Ga 0.938 0.441 0.683
Ga 0.687 0.687 0.939
Ga 0.938 0.435 0.192
Ga 0.435 0.938 0.192
Ga 0.435 0.435 0.192
Ga 0.441 0.938 0.683
Pu 0.874 0.874 0.377
Ac 0.996 0.996 0.012
Ac 0.503 0.503 0.492
Ac 0.376 0.376 0.873
```

=====

2.
Compound: AcPuGa3
Source: Alexandria
Functional: PBE
Structure: relaxed Values from VASP.

electronic total energy	-0.2177	Ha/atom
crystal system	orthorhombic
spin magnetization	11.6	μB per cell
SG	No. 63
V	25.63	A^3/atom

The structure in Quantum ESPRESSO input format:
```
&SYSTEM
  ibrav = 0, nat = 10, ntyp = 3
/
ATOMIC_SPECIES
Pu 244.00 Pu.upf
Ga 69.72 Ga.upf
Ac 227.00 Ac.upf
CELL_PARAMETERS angstrom
-0.683 4.164 0.867
-4.346 -0.867 0.740
4.795 -1.799 12.416
ATOMIC_POSITIONS crystal
Pu 0.250 0.791 0.582
Pu 0.750 0.209 0.418
Ga 0.250 0.377 0.755
Ga 0.250 0.476 0.951
Ga 0.250 0.676 0.352
Ga 0.750 0.524 0.049
Ga 0.750 0.324 0.648
Ga 0.750 0.623 0.245
Ac 0.750 0.925 0.850
Ac 0.250 0.075 0.150
```

=====

3.
Compound: Ac2PuGa3Rh4
Source: Alexandria
Functional: PBE
Structure: relaxed Values from VASP.

electronic total energy	-0.2515	Ha/atom
crystal system	tetragonal
spin magnetization	5.7	μB per cell
SG	No. 115
V	21.15	A^3/atom

The structure in Quantum ESPRESSO input format:
```
&SYSTEM
  ibrav = 0, nat = 10, ntyp = 4
/
ATOMIC_SPECIES
Ac 227.00 Ac.upf
Rh 102.91 Rh.upf
Ga 69.72 Ga.upf
Pu 244.00 Pu.upf
CELL_PARAMETERS angstrom
-4.034 -0.674 -1.701
0.852 -4.336 -0.303
-3.940 -1.468 9.926
ATOMIC_POSITIONS crystal
Ac 0.500 0.000 0.228
Ac 0.000 0.500 0.772
Rh 0.500 0.000 0.647
Rh 0.500 0.500 0.000
Rh 0.000 0.500 0.353
Rh 0.000 0.000 0.000
Ga 0.500 0.000 0.887
Ga 0.000 0.500 0.113
Ga 0.000 0.000 0.500
Pu 0.500 0.500 0.500
```

=====

4.
Compound: AcPuGaRu
Source: Alexandria
Functional: PBE
Structure: relaxed Values from VASP.

electronic total energy	-0.2846	Ha/atom
crystal system	cubic
spin magnetization	5.0	μB per cell
SG	No. 216
V	24.18	A^3/atom

The structure in Quantum ESPRESSO input format:
```
&SYSTEM
  ibrav = 0, nat = 4, ntyp = 4
/
ATOMIC_SPECIES
Ga 69.72 Ga.upf
Ac 227.00 Ac.upf
Ru 101.07 Ru.upf
Pu 244.00 Pu.upf
CELL_PARAMETERS angstrom
5.152 0.000 0.000
2.576 4.462 0.000
2.576 1.487 4.207
ATOMIC_POSITIONS crystal
Ga 0.250 0.250 0.250
Ac 0.000 0.000 0.000
Ru 0.750 0.750 0.750
Pu 0.500 0.500 0.500
```

=====

5.
Compound: AcSmPuGa
Source: Alexandria
Functional: PBE
Structure: relaxed Values from VASP.

electronic total energy	-0.2358	Ha/atom
crystal system	cubic
spin magnetization	6.9	μB per cell
SG	No. 216
V	29.19	A^3/atom

The structure in Quantum ESPRESSO input format:
```
&SYSTEM
  ibrav = 0, nat = 4, ntyp = 4
/
ATOMIC_SPECIES
Pu 244.00 Pu.upf
Ga 69.72 Ga.upf
Sm 150.36 Sm.upf
Ac 227.00 Ac.upf
CELL_PARAMETERS angstrom
5.486 0.000 0.000
2.743 4.751 0.000
2.743 1.584 4.479
ATOMIC_POSITIONS crystal
Pu 0.500 0.500 0.500
Ga 0.250 0.250 0.250
Sm 0.000 0.000 0.000
Ac 0.750 0.750 0.750
```

=====

6.
Compound: AcTbPuGa
Source: Alexandria
Functional: PBE
Structure: relaxed Values from VASP.

electronic total energy	-0.2349	Ha/atom
crystal system	cubic
spin magnetization	7.0	μB per cell
SG	No. 216
V	28.64	A^3/atom

The structure in Quantum ESPRESSO input format:
```
&SYSTEM
  ibrav = 0, nat = 4, ntyp = 4
/
ATOMIC_SPECIES
Tb 158.93 Tb.upf
Pu 244.00 Pu.upf
Ac 227.00 Ac.upf
Ga 69.72 Ga.upf
CELL_PARAMETERS angstrom
5.451 0.000 0.000
2.726 4.721 0.000
2.726 1.574 4.451
ATOMIC_POSITIONS crystal
Tb 0.250 0.250 0.250
Pu 0.750 0.750 0.750
Ac 0.000 0.000 0.000
Ga 0.500 0.500 0.500
```

=====

7.
Compound: RbAc2Ga
Source: Alexandria
Functional: PBE
Structure: relaxed Values from VASP.

electronic total energy	-0.1119	Ha/atom
crystal system	trigonal
spin magnetization	0.0	μB per cell
SG	No. 166
V	47.81	A^3/atom

The structure in Quantum ESPRESSO input format:
```
&SYSTEM
  ibrav = 0, nat = 4, ntyp = 3
/
ATOMIC_SPECIES
Rb 85.47 Rb.upf
Ac 227.00 Ac.upf
Ga 69.72 Ga.upf
CELL_PARAMETERS angstrom
-0.313 -1.950 -3.631
2.133 -3.477 -0.669
-9.280 -8.756 3.149
ATOMIC_POSITIONS crystal
Rb 0.000 0.000 0.000
Ac 0.889 0.889 0.334
Ac 0.111 0.111 0.666
Ga 0.500 0.500 0.500
```

=====

8.
Compound: RbAcGa
Source: Alexandria
Functional: PBE
Structure: relaxed Values from VASP.

electronic total energy	-0.1063	Ha/atom
crystal system	orthorhombic
spin magnetization	0.0	μB per cell
SG	No. 63
V	50.81	A^3/atom

The structure in Quantum ESPRESSO input format:
```
&SYSTEM
  ibrav = 0, nat = 6, ntyp = 3
/
ATOMIC_SPECIES
Ga 69.72 Ga.upf
Ac 227.00 Ac.upf
Rb 85.47 Rb.upf
CELL_PARAMETERS angstrom
-1.992 -1.783 -3.521
3.900 -0.711 -1.846
1.640 -13.312 8.588
ATOMIC_POSITIONS crystal
Ga 0.476 0.750 0.951
Ga 0.524 0.250 0.049
Ac 0.056 0.750 0.113
Ac 0.944 0.250 0.887
Rb 0.185 0.250 0.370
Rb 0.815 0.750 0.630
```

=====

9.
Compound: RbAc2Ga
Source: Alexandria
Functional: PBE
Structure: relaxed Values from VASP.

electronic total energy	-0.1140	Ha/atom
crystal system	tetragonal
spin magnetization	0.0	μB per cell
SG	No. 123
V	45.01	A^3/atom

The structure in Quantum ESPRESSO input format:
```
&SYSTEM
  ibrav = 0, nat = 4, ntyp = 3
/
ATOMIC_SPECIES
Ga 69.72 Ga.upf
Rb 85.47 Rb.upf
Ac 227.00 Ac.upf
CELL_PARAMETERS angstrom
4.001 0.000 0.000
0.000 4.001 0.000
0.000 0.000 11.246
ATOMIC_POSITIONS crystal
Ga 0.500 0.500 0.000
Rb 0.500 0.500 0.500
Ac 0.000 0.000 0.840
Ac 0.000 0.000 0.160
```

=====

10.
Compound: Rb2AcGaS4
Source: Alexandria
Functional: PBE
Structure: relaxed Values from VASP.

electronic total energy	-0.1613	Ha/atom
crystal system	monoclinic
spin magnetization	0.0	μB per cell
ΔE_f (raw)	-1.19	eV per atom
SG	No. 15
V	31.30	A^3/atom

The structure in Quantum ESPRESSO input format:
```
&SYSTEM
  ibrav = 0, nat = 16, ntyp = 4
/
ATOMIC_SPECIES
Ga 69.72 Ga.upf
Rb 85.47 Rb.upf
S 32.06 S.upf
Ac 227.00 Ac.upf
CELL_PARAMETERS angstrom
8.642 -0.121 -0.017
-0.128 8.642 -0.017
-4.192 -4.195 6.722
ATOMIC_POSITIONS crystal
Ga 0.000 0.000 0.000
Ga 0.500 0.500 0.500
Rb 0.000 0.000 0.500
Rb 0.500 0.000 0.000
Rb 0.500 0.500 0.000
Rb 0.500 0.000 0.500
S 0.799 0.272 0.054
S 0.837 0.827 0.029
S 0.163 0.173 0.971
S 0.201 0.728 0.946
S 0.228 0.701 0.446
S 0.673 0.663 0.471
S 0.327 0.337 0.529
S 0.772 0.299 0.554
Ac 0.000 0.500 0.500
Ac 0.000 0.500 0.000
```

=====

11.
Compound: Rb3Ac3GaS8
Source: Alexandria
Functional: PBE
Structure: relaxed Values from VASP.

electronic total energy	-0.1782	Ha/atom
crystal system	monoclinic
spin magnetization	1.1	μB per cell
ΔE_f (raw)	-1.43	eV per atom
SG	No. 12
V	33.50	A^3/atom

The structure in Quantum ESPRESSO input format:
```
&SYSTEM
  ibrav = 0, nat = 15, ntyp = 4
/
ATOMIC_SPECIES
S 32.06 S.upf
Ac 227.00 Ac.upf
Rb 85.47 Rb.upf
Ga 69.72 Ga.upf
CELL_PARAMETERS angstrom
8.605 0.001 0.000
-4.302 7.452 -0.034
0.000 -4.937 7.859
ATOMIC_POSITIONS crystal
S 0.769 0.976 0.683
S 0.795 0.590 0.319
S 0.265 0.529 0.294
S 0.735 0.471 0.706
S 0.207 0.976 0.683
S 0.231 0.024 0.317
S 0.205 0.410 0.681
S 0.793 0.024 0.317
Ac 0.000 0.500 0.500
Ac 0.500 0.000 0.500
Ac 0.500 0.500 0.500
Rb 0.000 0.500 0.000
Rb 0.000 0.000 0.000
Rb 0.500 0.500 0.000
Ga 0.000 0.000 0.500
```

=====

What is the spin magnetization in the fourth record?
5.0 μB per cell

=====

electronic total energy of number 3 (Ac2PuGa3Rh4)?
-0.2515 Ha/atom